# GGA-PBE K2FeCl, relaxed
data_K2FeCl
_symmetry_space_group_name_H-M 'I -4 m 2'
_symmetry_Int_Tables_number 119
_symmetry_space_group_name_Hall 'I -4 -2'
_cell_length_a 4.5823
_cell_length_b 4.5823
_cell_length_c 13.7458
_cell_angle_alpha 90.00
_cell_angle_beta 90.00
_cell_angle_gamma 90.00
loop_
_atom_site_label
_atom_site_type_symbol
_atom_site_fract_x
_atom_site_fract_y
_atom_site_fract_z
K1 K 0.0000 0.0000 0.0000
K2 K 0.0000 0.5000 0.2500
Fe1 Fe 0.0000 0.0000 0.5000
Cl1 Cl 0.0000 0.5000 0.7500
# ΔE to the lowest computed polymorph   4.70 kcal/mol of atoms
# E   -3.083 eV per atom
# ΔE_f (raw)   4 kJ/mol of atoms
# Crystal system   tetragonal

# GGA-PBE Ho4Er8Mg, relaxed
data_Ho4Er8Mg
_symmetry_space_group_name_H-M 'R -3 m'
_symmetry_Int_Tables_number 166
_symmetry_space_group_name_Hall '-R 3 2"'
_cell_length_a 7.0586
_cell_length_b 7.0586
_cell_length_c 28.3170
_cell_angle_alpha 90.00
_cell_angle_beta 90.00
_cell_angle_gamma 120.00
loop_
_atom_site_label
_atom_site_type_symbol
_atom_site_fract_x
_atom_site_fract_y
_atom_site_fract_z
Ho1 Ho 0.0000 0.0000 0.0000
Ho2 Ho 0.0000 0.5000 0.0000
Er1 Er 0.0000 0.0000 0.2118
Er2 Er 0.0187 0.5094 0.7634
Mg1 Mg 0.0000 0.0000 0.5000
# DFT formation energy   0.202 eV per atom
# E   -4.137 eV per atom
# Crystal system   trigonal

# GGA-PBE LaFeW2, relaxed
data_LaFeW2
_symmetry_space_group_name_H-M 'P m m m'
_symmetry_Int_Tables_number 47
_cell_length_a 2.8321
_cell_length_b 3.4795
_cell_length_c 7.5572
_cell_angle_alpha 90.00
_cell_angle_beta 90.00
_cell_angle_gamma 90.00
loop_
_symmetry_equiv_pos_as_xyz
'x,y,z'
'-x,-y,-z'
'-x,-y,z'
'x,y,-z'
'x,-y,-z'
'-x,y,z'
'-x,y,-z'
'x,-y,z'
loop_
_atom_site_label
_atom_site_type_symbol
_atom_site_fract_x
_atom_site_fract_y
_atom_site_fract_z
La1 La 0.0000 0.0000 0.0000
Fe1 Fe 0.0000 0.0000 0.5000
W1 W 0.5000 0.5000 0.3293
# DFT formation energy   0.573 eV per atom
# ΔE to the lowest computed polymorph   1.66 kcal/mol of atoms
# E   -9.252 eV per atom
# Crystal system   orthorhombic

# GGA-PBE Y6Fe2Sb, relaxed
data_Y6Fe2Sb
_symmetry_space_group_name_H-M 'P -6 2 m'
_symmetry_Int_Tables_number 189
_symmetry_space_group_name_Hall 'P -6 -2'
_cell_length_a 8.0340
_cell_length_b 8.0340
_cell_length_c 4.2623
_cell_angle_alpha 90.00
_cell_angle_beta 90.00
_cell_angle_gamma 120.00
loop_
_atom_site_label
_atom_site_type_symbol
_atom_site_fract_x
_atom_site_fract_y
_atom_site_fract_z
Y1 Y 0.0000 0.4017 0.0000
Y2 Y 0.0000 0.7195 0.5000
Fe1 Fe 0.3333 0.6667 0.5000
Sb1 Sb 0.0000 0.0000 0.0000
# ΔE to the lowest computed polymorph   3.73 kcal/mol of atoms
# E   -6.760 eV per atom
# ΔE_f (raw)   -11 kJ/mol of atoms
# Crystal system   hexagonal

# GGA-PBE LiMg2CdPb, relaxed
data_LiMg2CdPb
_symmetry_space_group_name_H-M 'P 4/m m m'
_symmetry_Int_Tables_number 123
_symmetry_space_group_name_Hall '-P 4 2'
_cell_length_a 5.2582
_cell_length_b 5.2582
_cell_length_c 5.8125
_cell_angle_alpha 90.00
_cell_angle_beta 90.00
_cell_angle_gamma 90.00
loop_
_atom_site_label
_atom_site_type_symbol
_atom_site_fract_x
_atom_site_fract_y
_atom_site_fract_z
Li1 Li 0.0000 0.0000 0.0000
Mg1 Mg 0.0000 0.5000 0.5000
Cd1 Cd 0.5000 0.5000 0.5000
Pb1 Pb 0.5000 0.5000 0.0000
# DFT formation energy   0.308 eV per atom
# E   -1.637 eV per atom
# Crystal system   tetragonal